[1]
{"formula": "MgP2WO7", "functional": "PBE with a Hubbard U", "state": "optimized geometry", "polymorph_energy_ev_per_atom": 0.099, "dos_ef_per_ev_fu": 0.00, "space_group": "P-1", "lattice_angstrom": [[6.641, 0.000, 0.000], [-0.705, 6.605, 0.000], [-1.396, -3.148, 6.722]], "species": ["Mg", "Mg", "P", "P", "P", "P", "W", "W", "O", "O", "O", "O", "O", "O", "O", "O", "O", "O", "O", "O", "O", "O"], "fractional_positions": [[0.020, 0.231, 0.019], [0.980, 0.769, 0.981], [0.115, 0.671, 0.309], [0.288, 0.905, 0.747], [0.712, 0.095, 0.253], [0.885, 0.329, 0.691], [0.439, 0.460, 0.829], [0.561, 0.540, 0.171], [0.107, 0.476, 0.816], [0.117, 0.740, 0.535], [0.152, 0.964, 0.897], [0.159, 0.865, 0.258], [0.259, 0.497, 0.245], [0.378, 0.103, 0.714], [0.440, 0.761, 0.785], [0.560, 0.239, 0.215], [0.622, 0.897, 0.286], [0.741, 0.503, 0.755], [0.841, 0.135, 0.742], [0.848, 0.036, 0.103], [0.883, 0.260, 0.465], [0.893, 0.524, 0.184]]}

***

[2]
{"formula": "MgP2WO", "functional": "PBE with a Hubbard U", "state": "optimized geometry", "polymorph_energy_ev_per_atom": 1.162, "dos_ef_per_ev_fu": 3.57, "space_group": "P4/mmm", "lattice_angstrom": [[4.854, 0.000, 0.000], [0.000, 4.854, 0.000], [0.000, 0.000, 3.509]], "species": ["Mg", "P", "P", "W", "O"], "fractional_positions": [[0.000, 0.000, 0.000], [0.000, 0.500, 0.000], [0.500, 0.000, 0.000], [0.500, 0.500, 0.500], [0.000, 0.000, 0.500]]}

***

[3]
{"formula": "MgPWO2", "functional": "PBE with a Hubbard U", "state": "optimized geometry", "polymorph_energy_ev_per_atom": 0.000, "dos_ef_per_ev_fu": 0.69, "space_group": "P4/mmm", "lattice_angstrom": [[3.875, 0.000, 0.000], [0.000, 3.875, 0.000], [0.000, 0.000, 5.288]], "species": ["Mg", "P", "W", "O", "O"], "fractional_positions": [[0.000, 0.000, 0.000], [0.500, 0.500, 0.000], [0.500, 0.500, 0.500], [0.000, 0.500, 0.500], [0.500, 0.000, 0.500]]}